(1)
Computed, not measured: YPa2H after structural relaxation at the PBE level of DFT.

The total energy comes out at -84.317 eV for the cell shown.

The structure belongs to space group R-3m (No. 166, hexagonal axes); the cell edges are 3.2015, 3.2015 and 28.5726 Å and the angles 90.00°, 90.00° and 120.00°. The distinct sites, in fractional coordinates, are Y at (0.0000, 0.0000, 0.0000), Pa at (0.0000, 0.0000, 0.1122) and H at (0.0000, 0.0000, 0.5000).


(2)
Computed, not measured: PrPuSbBr after structural relaxation at the PBE level of DFT.

The value obtained for the uncorrected formation energy is -919 meV/atom.

The structure belongs to space group F-43m (No. 216); the cell edges are 7.6607, 7.6607 and 7.6607 Å and the angles 90.00°, 90.00° and 90.00°. The distinct sites, in fractional coordinates, are Pr at (0.0000, 0.0000, 0.0000), Pu at (0.0000, 0.0000, 0.5000), Sb at (0.2500, 0.2500, 0.2500) and Br at (0.2500, 0.2500, 0.7500).


What did the second record say?
Computed, not measured: PrPuSbBr after structural relaxation at the PBE level of DFT.

The value obtained for the uncorrected formation energy is -919 meV/atom.

The structure belongs to space group F-43m (No. 216); the cell edges are 7.6607, 7.6607 and 7.6607 Å and the angles 90.00°, 90.00° and 90.00°. The distinct sites, in fractional coordinates, are Pr at (0.0000, 0.0000, 0.0000), Pu at (0.0000, 0.0000, 0.5000), Sb at (0.2500, 0.2500, 0.2500) and Br at (0.2500, 0.2500, 0.7500).


What is the formula in the first record?
YPa2H